A relaxed Zr2AuSe crystal, computed with GGA-PBE.

Output
As for the energy relative to the elements, uncorrected: -0.707 eV/atom. Its magnetic moment is 0.00 μB/cell.

Lattice parameters (Å, degrees): 3.2608 3.2608 7.3825 90.00 90.00 89.99
Element x y z (fractional)
Se (0.5000, 0.5000, 0.7500)
Zr (0.0000, 0.0000, 0.5129)
Zr (0.0000, 0.0000, 0.9871)
Au (0.5000, 0.5000, 0.2500)